! PBE Hf5TlGa, relaxed; values from VASP
&SYSTEM
  ibrav = 0, nat = 14, ntyp = 3
/
ATOMIC_SPECIES
Hf 178.49 Hf.upf
Tl 204.38 Tl.upf
Ga 69.72 Ga.upf
CELL_PARAMETERS angstrom
-1.410 -2.269 5.441
5.101 -2.546 2.059
4.521 5.400 8.262
ATOMIC_POSITIONS crystal
Hf 0.582 0.842 0.254
Hf 0.239 0.511 0.498
Hf 0.842 0.582 0.754
Hf 0.081 0.919 0.250
Hf 0.489 0.761 0.002
Hf 0.511 0.239 0.998
Hf 0.919 0.081 0.750
Hf 0.158 0.418 0.246
Hf 0.761 0.489 0.502
Hf 0.418 0.158 0.746
Tl 0.674 0.326 0.250
Tl 0.326 0.674 0.750
Ga 0.000 0.000 0.000
Ga 0.000 0.000 0.500
! Symmetry ... No. 15
! D(E_F) ... 1.09 states/eV/atom
! E_form ... 220.0 meV/atom
! V ... 166 Å³/f.u.



! PBE YHfTlGa2, relaxed; values from VASP
&SYSTEM
  ibrav = 0, nat = 5, ntyp = 4
/
ATOMIC_SPECIES
Y 88.91 Y.upf
Tl 204.38 Tl.upf
Hf 178.49 Hf.upf
Ga 69.72 Ga.upf
CELL_PARAMETERS angstrom
5.092 0.000 0.000
0.000 5.404 0.000
0.000 0.000 5.092
ATOMIC_POSITIONS crystal
Y 0.500 0.500 0.500
Tl 0.000 0.500 0.000
Hf 0.000 0.000 0.000
Ga 0.000 0.000 0.500
Ga 0.500 0.000 0.000
! Symmetry ... No. 123
! D(E_F) ... 0.32 states/eV/atom
! E_form ... 246.8 meV/atom
! V ... 140 Å³/f.u.



! PBE Tm4HfGa15, relaxed; values from VASP
&SYSTEM
  ibrav = 0, nat = 20, ntyp = 3
/
ATOMIC_SPECIES
Tm 168.93 Tm.upf
Hf 178.49 Hf.upf
Ga 69.72 Ga.upf
CELL_PARAMETERS angstrom
-3.337 2.536 0.025
-1.488 -1.992 3.374
10.397 13.553 12.587
ATOMIC_POSITIONS crystal
Tm 0.000 0.000 0.196
Tm 0.000 0.000 0.399
Tm 0.000 0.000 0.601
Tm 0.000 0.000 0.804
Hf 0.000 0.000 0.000
Ga 0.500 0.500 0.000
Ga 0.500 0.500 0.199
Ga 0.500 0.500 0.399
Ga 0.500 0.500 0.601
Ga 0.500 0.500 0.801
Ga 0.500 0.000 0.096
Ga 0.500 0.000 0.298
Ga 0.500 0.000 0.500
Ga 0.500 0.000 0.702
Ga 0.500 0.000 0.904
Ga 0.000 0.500 0.096
Ga 0.000 0.500 0.298
Ga 0.000 0.500 0.500
Ga 0.000 0.500 0.702
Ga 0.000 0.500 0.904
! Symmetry ... No. 123
! D(E_F) ... 0.28 states/eV/atom
! E_form ... -491.5 meV/atom
! V ... 373 Å³/f.u.



! PBE TmHfGa4, relaxed; values from VASP
&SYSTEM
  ibrav = 0, nat = 6, ntyp = 3
/
ATOMIC_SPECIES
Tm 168.93 Tm.upf
Hf 178.49 Hf.upf
Ga 69.72 Ga.upf
CELL_PARAMETERS angstrom
-2.898 0.765 -2.477
-0.605 -2.460 -2.949
-7.304 -5.756 3.839
ATOMIC_POSITIONS crystal
Tm 0.500 0.500 0.500
Hf 0.000 0.000 0.000
Ga 0.605 0.605 0.171
Ga 0.395 0.395 0.829
Ga 0.094 0.094 0.704
Ga 0.906 0.906 0.296
! Symmetry ... No. 12
! D(E_F) ... 0.53 states/eV/atom
! Polymorph energy (0 for the lowest one) ... 0.172 eV per atom
! E_form ... -242.0 meV/atom
! V ... 131 Å³/f.u.



! PBE TmHfGa4, relaxed; values from VASP
&SYSTEM
  ibrav = 0, nat = 6, ntyp = 3
/
ATOMIC_SPECIES
Tm 168.93 Tm.upf
Hf 178.49 Hf.upf
Ga 69.72 Ga.upf
CELL_PARAMETERS angstrom
-2.602 2.915 -3.652
1.213 -0.506 -5.184
-3.452 -2.356 -3.337
ATOMIC_POSITIONS crystal
Tm 0.250 0.250 0.250
Hf 0.000 0.000 0.000
Ga 0.625 0.625 0.124
Ga 0.625 0.124 0.625
Ga 0.625 0.625 0.625
Ga 0.124 0.625 0.625
! Symmetry ... No. 216
! D(E_F) ... 0.45 states/eV/atom
! Polymorph energy (0 for the lowest one) ... 0.000 eV per atom
! E_form ... -414.3 meV/atom
! V ... 108 Å³/f.u.



! PBE Tm2HfGa9, relaxed; values from VASP
&SYSTEM
  ibrav = 0, nat = 12, ntyp = 3
/
ATOMIC_SPECIES
Tm 168.93 Tm.upf
Hf 178.49 Hf.upf
Ga 69.72 Ga.upf
CELL_PARAMETERS angstrom
-2.330 1.209 -3.265
-3.373 0.188 2.477
2.592 12.058 2.614
ATOMIC_POSITIONS crystal
Tm 0.000 0.000 0.328
Tm 0.000 0.000 0.672
Hf 0.000 0.000 0.000
Ga 0.500 0.500 0.000
Ga 0.500 0.500 0.333
Ga 0.500 0.500 0.667
Ga 0.500 0.000 0.160
Ga 0.500 0.000 0.500
Ga 0.500 0.000 0.840
Ga 0.000 0.500 0.160
Ga 0.000 0.500 0.500
Ga 0.000 0.500 0.840
! Symmetry ... No. 123
! D(E_F) ... 0.38 states/eV/atom
! E_form ... -470.7 meV/atom
! V ... 221 Å³/f.u.



! PBE HfU3Ga12, relaxed; values from VASP
&SYSTEM
  ibrav = 0, nat = 16, ntyp = 3
/
ATOMIC_SPECIES
Hf 178.49 Hf.upf
U 238.03 U.upf
Ga 69.72 Ga.upf
CELL_PARAMETERS angstrom
-2.682 3.221 -0.528
-1.037 -0.193 4.091
12.349 10.879 3.643
ATOMIC_POSITIONS crystal
Hf 0.000 0.000 0.000
U 0.000 0.000 0.245
U 0.000 0.000 0.500
U 0.000 0.000 0.755
Ga 0.500 0.500 0.000
Ga 0.500 0.500 0.248
Ga 0.500 0.500 0.500
Ga 0.500 0.500 0.752
Ga 0.500 0.000 0.120
Ga 0.500 0.000 0.373
Ga 0.500 0.000 0.627
Ga 0.500 0.000 0.880
Ga 0.000 0.500 0.120
Ga 0.000 0.500 0.373
Ga 0.000 0.500 0.627
Ga 0.000 0.500 0.880
! Symmetry ... No. 123
! D(E_F) ... 0.97 states/eV/atom
! E_form ... -278.8 meV/atom
! V ... 301 Å³/f.u.



! PBE Hf2UGa, relaxed; values from VASP
&SYSTEM
  ibrav = 0, nat = 4, ntyp = 3
/
ATOMIC_SPECIES
Hf 178.49 Hf.upf
U 238.03 U.upf
Ga 69.72 Ga.upf
CELL_PARAMETERS angstrom
-1.744 -1.612 4.272
-4.177 -2.535 0.135
0.074 -4.780 1.023
ATOMIC_POSITIONS crystal
Hf 0.250 0.250 0.250
Hf 0.750 0.750 0.750
U 0.000 0.000 0.000
Ga 0.500 0.500 0.500
! Symmetry ... No. 225
! D(E_F) ... 1.44 states/eV/atom
! Polymorph energy (0 for the lowest one) ... 0.226 eV per atom
! E_form ... 167.6 meV/atom
! V ... 83 Å³/f.u.



! PBE HfUGa4, relaxed; values from VASP
&SYSTEM
  ibrav = 0, nat = 6, ntyp = 3
/
ATOMIC_SPECIES
Hf 178.49 Hf.upf
U 238.03 U.upf
Ga 69.72 Ga.upf
CELL_PARAMETERS angstrom
5.399 0.000 0.000
2.699 4.675 0.000
2.699 1.558 4.408
ATOMIC_POSITIONS crystal
Hf 0.250 0.250 0.250
U 0.000 0.000 0.000
Ga 0.625 0.625 0.126
Ga 0.625 0.126 0.625
Ga 0.625 0.625 0.625
Ga 0.126 0.625 0.625
! Symmetry ... No. 216
! D(E_F) ... 1.69 states/eV/atom
! E_form ... -149.2 meV/atom
! V ... 111 Å³/f.u.



! PBE Hf2UGa, relaxed; values from VASP
&SYSTEM
  ibrav = 0, nat = 4, ntyp = 3
/
ATOMIC_SPECIES
Hf 178.49 Hf.upf
U 238.03 U.upf
Ga 69.72 Ga.upf
CELL_PARAMETERS angstrom
-2.415 3.050 -0.949
-1.618 0.031 4.218
3.220 2.928 1.214
ATOMIC_POSITIONS crystal
Hf 0.000 0.000 0.500
Hf 0.000 0.500 0.000
U 0.500 0.500 0.500
Ga 0.500 0.000 0.000
! Symmetry ... No. 123
! D(E_F) ... 1.73 states/eV/atom
! Polymorph energy (0 for the lowest one) ... 0.033 eV per atom
! E_form ... -25.1 meV/atom
! V ... 82 Å³/f.u.



! PBE Hf2UGa, relaxed; values from VASP
&SYSTEM
  ibrav = 0, nat = 4, ntyp = 3
/
ATOMIC_SPECIES
Hf 178.49 Hf.upf
U 238.03 U.upf
Ga 69.72 Ga.upf
CELL_PARAMETERS angstrom
2.991 0.000 0.000
0.000 2.991 0.000
0.000 0.000 9.059
ATOMIC_POSITIONS crystal
Hf 0.000 0.000 0.724
Hf 0.000 0.000 0.276
U 0.500 0.500 0.000
Ga 0.500 0.500 0.500
! Symmetry ... No. 123
! D(E_F) ... 1.65 states/eV/atom
! Polymorph energy (0 for the lowest one) ... 0.000 eV per atom
! E_form ... -58.4 meV/atom
! V ... 81 Å³/f.u.



! PBE HfU4Ga15, relaxed; values from VASP
&SYSTEM
  ibrav = 0, nat = 20, ntyp = 3
/
ATOMIC_SPECIES
Hf 178.49 Hf.upf
U 238.03 U.upf
Ga 69.72 Ga.upf
CELL_PARAMETERS angstrom
4.227 0.000 0.000
0.000 4.227 0.000
0.000 0.000 21.187
ATOMIC_POSITIONS crystal
Hf 0.000 0.000 0.000
U 0.000 0.000 0.194
U 0.000 0.000 0.399
U 0.000 0.000 0.601
U 0.000 0.000 0.806
Ga 0.500 0.500 0.000
Ga 0.500 0.500 0.197
Ga 0.500 0.500 0.399
Ga 0.500 0.500 0.601
Ga 0.500 0.500 0.803
Ga 0.500 0.000 0.095
Ga 0.500 0.000 0.297
Ga 0.500 0.000 0.500
Ga 0.500 0.000 0.703
Ga 0.500 0.000 0.905
Ga 0.000 0.500 0.095
Ga 0.000 0.500 0.297
Ga 0.000 0.500 0.500
Ga 0.000 0.500 0.703
Ga 0.000 0.500 0.905
! Symmetry ... No. 123
! D(E_F) ... 1.03 states/eV/atom
! E_form ... -270.7 meV/atom
! V ... 379 Å³/f.u.